[1]
Below is an optimized crystal structure of LaErPSe, with properties calculated at the PBE-GGA level.

Unit cell a=4.1159 b=4.1159 c=20.6883 alpha=90.00 beta=90.00 gamma=120.00
Space group R3m (No. 160, hexagonal axes)
Asymmetric unit:
La  0.0000  0.0000  0.0000 x3
Er  0.0000  0.0000  0.5131 x3
P  0.0000  0.0000  0.2502 x3
Se  0.0000  0.0000  0.7626 x3

magnetization: 0.0 μB per cell
E: -6.400 eV per atom

[2]
Below is an optimized crystal structure of GdZrAu2, with properties calculated at the PBE-GGA level.

Unit cell a=3.468 b=3.468 c=7.325 alpha=90.00 beta=90.00 gamma=90.00
Space group P4/mmm (No. 123)
Asymmetric unit:
Gd  0.000  0.000  0.000 x1
Zr  0.000  0.000  0.500 x1
Au  0.500  0.500  0.276 x2

magnetization: 7.1 μB per cell
E: -7.909 eV per atom
DFT formation energy: -0.613 eV per atom

[3]
Below is an optimized crystal structure of CuHgAs2, with properties calculated at the PBE-GGA level.

Unit cell a=2.944 b=3.632 c=8.460 alpha=90.00 beta=90.00 gamma=90.00
Space group Pmmm (No. 47)
Asymmetric unit:
Cu  0.000  0.000  0.000 x1
Hg  0.000  0.000  0.500 x1
As  0.500  0.500  0.149 x2

magnetization: 0.0 μB per cell
E: -3.243 eV per atom
DFT formation energy: 0.181 eV per atom

[4]
Below is an optimized crystal structure of CdTcBr2, with properties calculated at the PBE-GGA level.

Unit cell a=3.664 b=5.800 c=9.454 alpha=90.00 beta=90.00 gamma=90.00
Space group Cmm2 (No. 35)
Asymmetric unit:
Cd  0.000  0.000  0.000 x2
Tc  0.000  0.500  0.231 x2
Br  0.000  0.000  0.416 x2
Br  0.000  0.500  0.793 x2

magnetization: 4.3 μB per cell
ΔE to the lowest computed polymorph: 0.234 eV/atom
E: -3.395 eV per atom

[5]
Below is an optimized crystal structure of AsP2SCl, with properties calculated at the PBE-GGA level.

Unit cell a=4.691 b=4.691 c=4.485 alpha=90.00 beta=90.00 gamma=90.00
Space group P4/mmm (No. 123)
Asymmetric unit:
As  0.000  0.000  0.000 x1
P  0.000  0.500  0.500 x2
S  0.500  0.500  0.000 x1
Cl  0.500  0.500  0.500 x1

magnetization: 0.0 μB per cell
ΔE to the lowest computed polymorph: 0.476 eV/atom
E: -2.893 eV per atom

[6]
Below is an optimized crystal structure of NaY2BiH, with properties calculated at the PBE-GGA level.

Unit cell a=4.843 b=4.843 c=4.752 alpha=90.00 beta=90.00 gamma=90.00
Space group P4/mmm (No. 123)
Asymmetric unit:
Na  0.000  0.000  0.000 x1
Y  0.000  0.500  0.500 x2
Bi  0.500  0.500  0.000 x1
H  0.000  0.000  0.500 x1

magnetization: 0.0 μB per cell
E: -4.652 eV per atom

[7]
Below is an optimized crystal structure of Pu2MgCo, with properties calculated at the PBE-GGA level.

Unit cell a=2.9258 b=2.9258 c=32.8711 alpha=90.00 beta=90.00 gamma=120.00
Space group R-3m (No. 166, hexagonal axes)
Asymmetric unit:
Pu  0.0000  0.0000  0.0976 x6
Mg  0.0000  0.0000  0.0000 x3
Co  0.0000  0.0000  0.5000 x3

magnetization: 31.0 μB per cell
ΔE to the lowest computed polymorph: 0.369 eV/atom
E: -8.908 eV per atom
DFT formation energy: 0.433 eV per atom

[8]
Below is an optimized crystal structure of Mn2AgI6, with properties calculated at the PBE-GGA level.

Unit cell a=7.1678 b=7.1678 c=6.7919 alpha=90.00 beta=90.00 gamma=120.00
Space group P-31m (No. 162)
Asymmetric unit:
Mn  0.3333  0.6667  0.0000 x2
Ag  0.0000  0.0000  0.5000 x1
I  0.0000  0.3504  0.7611 x6

magnetization: 9.0 μB per cell
ΔE to the lowest computed polymorph: 0.000 eV/atom
E: -3.686 eV per atom

[9]
Below is an optimized crystal structure of ReSe2Br5, with properties calculated at the PBE-GGA level.

Unit cell a=4.998 b=8.100 c=8.718 alpha=63.20 beta=73.41 gamma=72.06
Space group P1 (No. 1)
Asymmetric unit:
Re  0.000  0.000  0.000 x1
Se  0.505  0.509  0.497 x1
Se  0.771  0.614  0.582 x1
Br  0.130  0.657  0.098 x1
Br  0.131  0.053  0.692 x1
Br  0.460  0.041  0.040 x1
Br  0.854  0.973  0.322 x1
Br  0.861  0.361  0.924 x1

magnetization: 3.1 μB per cell
E: -3.506 eV per atom

[10]
Below is an optimized crystal structure of CdMoW2, with properties calculated at the PBE-GGA level.

Unit cell a=2.8168 b=2.8168 c=29.9392 alpha=90.00 beta=90.00 gamma=120.00
Space group R-3m (No. 166, hexagonal axes)
Asymmetric unit:
Cd  0.0000  0.0000  0.0000 x3
Mo  0.0000  0.0000  0.5000 x3
W  0.0000  0.0000  0.2472 x6

magnetization: 0.0 μB per cell
E: -8.858 eV per atom
DFT formation energy: 0.555 eV per atom

[11]
Below is an optimized crystal structure of Ba2LiSn4Ir3, with properties calculated at the PBE-GGA level.

Unit cell a=4.775 b=4.775 c=10.638 alpha=90.00 beta=90.00 gamma=90.00
Space group P-4m2 (No. 115)
Asymmetric unit:
Ba  0.000  0.500  0.246 x2
Li  0.500  0.500  0.000 x1
Sn  0.000  0.000  0.500 x1
Sn  0.000  0.500  0.877 x2
Sn  0.500  0.500  0.500 x1
Ir  0.000  0.000  0.000 x1
Ir  0.000  0.500  0.625 x2

magnetization: 0.0 μB per cell
E: -5.279 eV per atom
DFT formation energy: -0.443 eV per atom

[12]
Below is an optimized crystal structure of TbGa2Pb, with properties calculated at the PBE-GGA level.

Unit cell a=7.306 b=7.306 c=7.306 alpha=90.00 beta=90.00 gamma=90.00
Space group Fm-3m (No. 225)
Asymmetric unit:
Tb  0.000  0.000  0.000 x4
Ga  0.250  0.250  0.250 x8
Pb  0.000  0.000  0.500 x4

magnetization: 0.0 μB per cell
ΔE to the lowest computed polymorph: 0.187 eV/atom
E: -3.797 eV per atom
DFT formation energy: -0.199 eV per atom

[13]
Below is an optimized crystal structure of NdTmThSc3, with properties calculated at the PBE-GGA level.

Unit cell a=10.137 b=3.444 c=10.235 alpha=90.00 beta=108.33 gamma=90.00
Space group P2_1/m (No. 11)
Asymmetric unit:
Nd  0.213  0.250  0.368 x2
Tm  0.124  0.750  0.630 x2
Th  0.374  0.250  0.872 x2
Sc  0.044  0.250  0.882 x2
Sc  0.292  0.750  0.115 x2
Sc  0.463  0.750  0.631 x2

magnetization: 0.0 μB per cell
E: -5.891 eV per atom
DFT formation energy: 0.051 eV per atom

[14]
Below is an optimized crystal structure of LiVCd, with properties calculated at the PBE-GGA level.

Unit cell a=4.7948 b=4.7948 c=5.7279 alpha=90.00 beta=90.00 gamma=120.00
Space group P-6m2 (No. 187)
Asymmetric unit:
Li  0.0000  0.0000  0.0000 x1
Li  0.0000  0.0000  0.5000 x1
V  0.3333  0.6667  0.1633 x2
Cd  0.6667  0.3333  0.2509 x2

magnetization: 0.6 μB per cell
ΔE to the lowest computed polymorph: 0.305 eV/atom
E: -3.546 eV per atom
DFT formation energy: 0.437 eV per atom

[15]
Below is an optimized crystal structure of Be2Cu3Au4, with properties calculated at the PBE-GGA level.

Unit cell a=7.317 b=4.232 c=8.129 alpha=90.00 beta=90.04 gamma=90.00
Space group C2/m (No. 12)
Asymmetric unit:
Be  0.167  0.000  0.173 x4
Cu  0.000  0.500  0.000 x2
Cu  0.167  0.000  0.491 x4
Au  0.000  0.500  0.328 x4
Au  0.166  0.000  0.861 x4

magnetization: 0.0 μB per cell
E: -3.694 eV per atom
DFT formation energy: -0.044 eV per atom

[16]
Below is an optimized crystal structure of Ca2TaOsS, with properties calculated at the PBE-GGA level.

Unit cell a=5.782 b=5.782 c=4.527 alpha=90.00 beta=90.00 gamma=90.00
Space group P4/mmm (No. 123)
Asymmetric unit:
Ca  0.000  0.500  0.000 x2
Ta  0.000  0.000  0.000 x1
Os  0.500  0.500  0.500 x1
S  0.000  0.000  0.500 x1

magnetization: 3.3 μB per cell
E: -4.963 eV per atom

[17]
Below is an optimized crystal structure of Er5Mg2OsRu2, with properties calculated at the PBE-GGA level.

Unit cell a=11.618 b=11.618 c=3.456 alpha=90.00 beta=90.00 gamma=90.00
Space group P4/mbm (No. 127)
Asymmetric unit:
Er  0.000  0.500  0.000 x2
Er  0.055  0.196  0.000 x8
Mg  0.190  0.690  0.500 x4
Os  0.000  0.000  0.500 x2
Ru  0.135  0.365  0.500 x4

magnetization: 0.0 μB per cell
E: -5.791 eV per atom
DFT formation energy: -0.212 eV per atom

[18]
Below is an optimized crystal structure of CrNiB, with properties calculated at the PBE-GGA level.

Unit cell a=4.264 b=7.317 c=14.077 alpha=90.00 beta=90.00 gamma=90.00
Space group Fddd (No. 70, origin choice 2)
Asymmetric unit:
Cr  0.125  0.125  0.041 x16
Ni  0.125  0.290  0.625 x16
B  0.125  0.125  0.500 x16

magnetization: 0.0 μB per cell
E: -7.613 eV per atom
DFT formation energy: -0.253 eV per atom

[19]
Below is an optimized crystal structure of Ca2CuPd2, with properties calculated at the PBE-GGA level.

Unit cell a=3.786 b=3.786 c=16.264 alpha=90.00 beta=90.00 gamma=90.00
Space group I4/mmm (No. 139)
Asymmetric unit:
Ca  0.000  0.000  0.111 x4
Cu  0.000  0.000  0.500 x2
Pd  0.000  0.500  0.250 x4

magnetization: 0.0 μB per cell
E: -3.925 eV per atom
DFT formation energy: -0.228 eV per atom

[20]
Below is an optimized crystal structure of NaH4SN, with properties calculated at the PBE-GGA level.

Unit cell a=8.605 b=4.974 c=8.823 alpha=90.00 beta=108.99 gamma=90.00
Space group C2/m (No. 12)
Asymmetric unit:
Na  0.127  0.000  0.381 x4
H  0.003  0.500  0.165 x4
H  0.170  0.328  0.835 x8
H  0.170  0.500  0.008 x4
S  0.239  0.000  0.715 x4
N  0.128  0.500  0.882 x4

magnetization: 0.0 μB per cell
E: -4.398 eV per atom